#P
Density functional theory data (GGA-PBE) for a relaxed structure of MgMnC3.

* space group: Pm-3m, No. 221

abc: 3.9694 3.9694 3.9694
angles: 90.00 90.00 90.00
Sites, in units of the cell vectors:
1 Mg 0.0000 0.0000 0.0000
2 Mn 0.5000 0.5000 0.5000
3 C 0.0000 0.5000 0.0000
4 C 0.0000 0.0000 0.5000
5 C 0.5000 0.0000 0.0000

=====

#Q
Density functional theory data (GGA-PBE) for a relaxed structure of MgMnC3.

* space group: Pm-3m, No. 221

abc: 3.7724 3.7724 3.7724
angles: 90.00 90.00 90.00
Sites, in units of the cell vectors:
1 Mg 0.5000 0.5000 0.5000
2 Mn 0.0000 0.0000 0.0000
3 C 0.0000 0.5000 0.0000
4 C 0.0000 0.0000 0.5000
5 C 0.5000 0.0000 0.0000

=====

Short version: #Q is the most stable of them.

=====

#P
Density functional theory data (GGA-PBE) for a relaxed structure of Mg6MnC.

* space group: Amm2, No. 38

abc: 7.0547 7.0547 3.0773
angles: 90.00 90.00 94.16
Sites, in units of the cell vectors:
1 Mg 0.5381 0.7831 0.0000
2 Mg 0.2169 0.4619 0.0000
3 Mg 0.6571 0.3429 0.0000
4 Mg 0.8907 0.6484 0.5000
5 Mg 0.3516 0.1093 0.5000
6 Mg 0.9187 0.0813 0.5000
7 Mn 0.1628 0.8372 0.0000
8 C 0.2640 0.7360 0.5000

=====

#Q
Density functional theory data (GGA-PBE) for a relaxed structure of Mg6MnC.

* space group: Amm2, No. 38

abc: 6.3582 6.3582 3.7401
angles: 90.00 90.00 97.69
Sites, in units of the cell vectors:
1 Mg 0.8914 0.6026 0.0000
2 Mg 0.3974 0.1086 0.0000
3 Mg 0.7027 0.9328 0.5000
4 Mg 0.0672 0.2973 0.5000
5 Mg 0.1843 0.8157 0.5000
6 Mg 0.6132 0.3868 0.5000
7 Mn 0.3947 0.6053 0.0000
8 C 0.7491 0.2509 0.0000

=====

Short version: #P is the most stable of them.